{
  "formula": "NdHo2Ag2Sn2",
  "functional": "PBE",
  "state": "relaxed",
  "energy_ev_per_cell": -30.7,
  "lattice": [[4.880, 0.000, 0.000], [2.440, 4.226, 0.000], [2.440, 1.409, 8.691]],
  "species": ["Sn", "Sn", "Ho", "Ho", "Ag", "Ag", "Nd"],
  "fractional_positions": [[0.737, 0.737, 0.789], [0.263, 0.263, 0.211], [0.865, 0.865, 0.404], [0.135, 0.135, 0.596], [0.439, 0.439, 0.682], [0.561, 0.561, 0.318], [0.000, 0.000, 0.000]]
}